DFT (PBE-GGA) results for an optimized crystal structure of SrZn2Ni.

Lattice parameters (Å, degrees): 5.9173 5.9173 5.9173 41.92 41.92 41.92
With the nearest neighbours (Å) after each atom.
Sites, in units of the cell vectors:
1 Ni 0.5000 0.5000 0.5000  6 Zn 2.49
2 Sr 0.0000 0.0000 0.0000  8 Zn 3.15-3.31
3 Zn 0.1949 0.1949 0.1949  3 Ni 2.49, 3 Zn 2.61
4 Zn 0.8051 0.8051 0.8051  3 Ni 2.49, 3 Zn 2.61

Properties
- Density: 5.50 g/cm³
- V: 84 Å³/cell
- Space group: R-3m, No. 166
- E: -2.675 eV/atom